# 1
A relaxed structure of Sm12YSc6. Source: the Alexandria database, functional GGA-PBE.

a = 8.988 Å, b = 8.988 Å, c = 8.988 Å
α = 106.77°, β = 106.77°, γ = 106.77°
Positions (direct):
Sm  0.133  0.826  0.280
Sm  0.174  0.720  0.867
Sm  0.195  0.572  0.480
Sm  0.280  0.133  0.826
Sm  0.428  0.520  0.805
Sm  0.480  0.195  0.572
Sm  0.520  0.805  0.428
Sm  0.572  0.480  0.195
Sm  0.720  0.867  0.174
Sm  0.805  0.428  0.520
Sm  0.826  0.280  0.133
Sm  0.867  0.174  0.720
Y  0.000  0.000  0.000
Sc  0.073  0.187  0.461
Sc  0.187  0.461  0.073
Sc  0.461  0.073  0.187
Sc  0.539  0.927  0.813
Sc  0.813  0.539  0.927
Sc  0.927  0.813  0.539

Summary:
Energy above the lowest structure with this stoichiometry (meV per atom): 36
Space group: R-3, No. 148
Calculated density (g/cm3): 5.904
Energy relative to the elements (eV per atom): 0.27

***

# 2
A relaxed structure of SmY4Sc5. Source: the Alexandria database, functional GGA-PBE.

a = 7.724 Å, b = 7.724 Å, c = 7.724 Å
α = 97.73°, β = 97.73°, γ = 136.97°
Positions (direct):
Sm  0.000  0.000  0.000
Y  0.256  0.576  0.320
Y  0.256  0.935  0.680
Y  0.576  0.256  0.320
Y  0.935  0.256  0.680
Sc  0.477  0.477  0.000
Sc  0.539  0.539  0.622
Sc  0.539  0.917  0.000
Sc  0.917  0.539  0.000
Sc  0.917  0.917  0.378

Summary:
Space group: I4mm, No. 107
Calculated density (g/cm3): 4.147
Energy relative to the elements (eV per atom): 0.24

***

# 3
A relaxed structure of Sm3YSc3. Source: the Alexandria database, functional GGA-PBE.

a = 8.552 Å, b = 8.552 Å, c = 8.552 Å
α = 58.64°, β = 58.64°, γ = 58.64°
Positions (direct):
Sm  0.067  0.571  0.217
Sm  0.217  0.067  0.571
Sm  0.429  0.783  0.933
Sm  0.571  0.217  0.067
Sm  0.783  0.933  0.429
Sm  0.933  0.429  0.783
Y  0.154  0.154  0.154
Y  0.846  0.846  0.846
Sc  0.223  0.669  0.439
Sc  0.331  0.561  0.777
Sc  0.439  0.223  0.669
Sc  0.561  0.777  0.331
Sc  0.669  0.439  0.223
Sc  0.777  0.331  0.561

Summary:
Energy above the lowest structure with this stoichiometry (meV per atom): 138
Space group: R-3, No. 148
Calculated density (g/cm3): 5.229
Energy relative to the elements (eV per atom): 0.18

***

# 4
A relaxed structure of Sm4Y3Sc2. Source: the Alexandria database, functional GGA-PBE.

a = 10.089 Å, b = 10.089 Å, c = 5.914 Å
α = 96.46°, β = 96.46°, γ = 70.18°
Positions (direct):
Sm  0.055  0.820  0.968
Sm  0.178  0.391  0.119
Sm  0.180  0.945  0.532
Sm  0.391  0.178  0.619
Sm  0.609  0.822  0.381
Sm  0.820  0.055  0.468
Sm  0.822  0.609  0.881
Sm  0.945  0.180  0.032
Y  0.029  0.318  0.579
Y  0.318  0.029  0.079
Y  0.385  0.615  0.250
Y  0.615  0.385  0.750
Y  0.682  0.971  0.921
Y  0.971  0.682  0.421
Sc  0.267  0.527  0.695
Sc  0.473  0.733  0.805
Sc  0.527  0.267  0.195
Sc  0.733  0.473  0.305

Summary:
Energy above the lowest structure with this stoichiometry (meV per atom): 59
Space group: C2/c, No. 15
Calculated density (g/cm3): 5.672
Energy relative to the elements (eV per atom): 0.10

***

# 5
A relaxed structure of Sm5Y5Sc. Source: the Alexandria database, functional GGA-PBE.

a = 9.901 Å, b = 9.901 Å, c = 6.944 Å
α = 110.26°, β = 110.26°, γ = 35.07°
Positions (direct):
Sm  0.000  0.000  0.000
Sm  0.328  0.328  0.327
Sm  0.375  0.375  0.874
Sm  0.625  0.625  0.126
Sm  0.672  0.672  0.673
Y  0.175  0.175  0.429
Y  0.175  0.175  0.919
Y  0.500  0.500  0.500
Y  0.825  0.825  0.081
Y  0.825  0.825  0.571
Sc  0.000  0.000  0.500

Summary:
Space group: C2/m, No. 12
Calculated density (g/cm3): 5.657
Energy relative to the elements (eV per atom): 0.27

***

# 6
A relaxed structure of SmY3Sc3. Source: the Alexandria database, functional GGA-PBE.

a = 8.484 Å, b = 8.484 Å, c = 8.484 Å
α = 59.19°, β = 59.19°, γ = 59.19°
Positions (direct):
Sm  0.151  0.151  0.151
Sm  0.849  0.849  0.849
Y  0.068  0.222  0.567
Y  0.222  0.567  0.068
Y  0.433  0.932  0.778
Y  0.567  0.068  0.222
Y  0.778  0.433  0.932
Y  0.932  0.778  0.433
Sc  0.224  0.437  0.668
Sc  0.332  0.776  0.563
Sc  0.437  0.668  0.224
Sc  0.563  0.332  0.776
Sc  0.668  0.224  0.437
Sc  0.776  0.563  0.332

Summary:
Energy above the lowest structure with this stoichiometry (meV per atom): 149
Space group: R-3, No. 148
Calculated density (g/cm3): 4.325
Energy relative to the elements (eV per atom): 0.18

***

> Which formula does entry 4 have?

Sm4Y3Sc2

***

> Look up the energy relative to the elements of the second one.

0.24 eV per atom